Entry 1:
A plane-wave DFT calculation with PBE-GGA was carried out for Cs12Au5O2 after structural relaxation.

Structure (CIF):
```
data_Cs12Au5O2
_chemical_formula_sum 'Cs24 Au10 O4'
_cell_length_a 19.6995
_cell_length_b 9.1617
_cell_length_c 11.3701
_cell_angle_alpha 90.00
_cell_angle_beta 106.97
_cell_angle_gamma 90.00
_symmetry_space_group_name_H-M 'C 1 2/m 1'
_symmetry_Int_Tables_number 12
loop_
_symmetry_equiv_pos_as_xyz
'x,y,z'
'-x,-y,-z'
'-x,y,-z'
'x,-y,z'
'x+1/2,y+1/2,z'
'-x+1/2,-y+1/2,-z'
'-x+1/2,y+1/2,-z'
'x+1/2,-y+1/2,z'
loop_
_atom_site_label
_atom_site_fract_x
_atom_site_fract_y
_atom_site_fract_z
_atom_site_occupancy
Cs1 0.0006 0.0000 0.1719 1
Cs2 0.0011 0.5000 0.1750 1
Cs3 0.1503 0.2530 0.5758 1
Cs4 0.1516 0.2588 0.0749 1
Au1 0.0000 0.0000 0.5000 1
Au2 0.1928 0.5000 0.8441 1
Au3 0.1966 0.5000 0.3508 1
O1 0.0000 0.2459 0.0000 1
```

Output
Raw total energy (eV per atom): -2.41
Total magnetization (μB/f.u.): 1.0
Formation energy from raw total energies (meV/atom): -486

=====

Entry 2:
A plane-wave DFT calculation with PBE-GGA was carried out for Nd4SmTl2 after structural relaxation.

Structure (CIF):
```
data_Nd4SmTl2
_chemical_formula_sum 'Nd8 Sm2 Tl4'
_cell_length_a 8.8909
_cell_length_b 10.5179
_cell_length_c 4.9643
_cell_angle_alpha 90.00
_cell_angle_beta 90.00
_cell_angle_gamma 90.00
_symmetry_space_group_name_H-M 'C m m m'
_symmetry_Int_Tables_number 65
_symmetry_space_group_name_Hall '-C 2 2'
loop_
_atom_site_label
_atom_site_fract_x
_atom_site_fract_y
_atom_site_fract_z
_atom_site_occupancy
Nd1 0.2080 0.0000 0.0000 1
Nd2 0.2500 0.2500 0.5000 1
Sm1 0.0000 0.5000 0.5000 1
Tl1 0.0000 0.2812 0.0000 1
```

Output
Raw total energy (eV per atom): -4.21
Total magnetization (μB/f.u.): 0.0
Polymorph energy (0 for the lowest one) (eV/atom): 0.000

=====

Entry 3:
A plane-wave DFT calculation with PBE-GGA was carried out for Ac2RhPb2 after structural relaxation.

Structure (CIF):
```
data_Ac2RhPb2
_chemical_formula_sum 'Ac8 Rh4 Pb8'
_cell_length_a 12.7639
_cell_length_b 4.2334
_cell_length_c 13.3990
_cell_angle_alpha 90.00
_cell_angle_beta 117.26
_cell_angle_gamma 90.00
_symmetry_space_group_name_H-M 'C 1 2/m 1'
_symmetry_Int_Tables_number 12
loop_
_symmetry_equiv_pos_as_xyz
'x,y,z'
'-x,-y,-z'
'-x,y,-z'
'x,-y,z'
'x+1/2,y+1/2,z'
'-x+1/2,-y+1/2,-z'
'-x+1/2,y+1/2,-z'
'x+1/2,-y+1/2,z'
loop_
_atom_site_label
_atom_site_fract_x
_atom_site_fract_y
_atom_site_fract_z
_atom_site_occupancy
Ac1 0.0806 0.0000 0.3586 1
Ac2 0.2051 0.0000 0.1210 1
Rh1 0.2101 0.5000 0.2852 1
Pb1 0.0256 0.5000 0.8901 1
Pb2 0.1277 0.5000 0.5969 1
```

Output
Raw total energy (eV per atom): -5.16
Total magnetization (μB/f.u.): 0.0
Polymorph energy (0 for the lowest one) (eV/atom): 0.000

=====

Entry 4:
A plane-wave DFT calculation with PBE-GGA was carried out for ScSbPdRh after structural relaxation.

Structure (CIF):
```
data_ScSbPdRh
_chemical_formula_sum 'Sc4 Sb4 Pd4 Rh4'
_cell_length_a 6.5361
_cell_length_b 6.5361
_cell_length_c 6.5361
_cell_angle_alpha 90.00
_cell_angle_beta 90.00
_cell_angle_gamma 90.00
_symmetry_space_group_name_H-M 'F -4 3 m'
_symmetry_Int_Tables_number 216
_symmetry_space_group_name_Hall 'F -4 2 3'
loop_
_atom_site_label
_atom_site_fract_x
_atom_site_fract_y
_atom_site_fract_z
_atom_site_occupancy
Sc1 0.0000 0.0000 0.0000 1
Sb1 0.0000 0.0000 0.5000 1
Pd1 0.2500 0.2500 0.2500 1
Rh1 0.2500 0.2500 0.7500 1
```

Output
Raw total energy (eV per atom): -6.54
Total magnetization (μB/f.u.): 0.0
Formation energy from raw total energies (meV/atom): -788